SrMn | PBE | optimized geometry

a = 5.447 Å, b = 5.447 Å, c = 5.447 Å
α = 60.00°, β = 60.00°, γ = 60.00°
Last column: magnetic moment on the atom in μB.
Sites, in units of the cell vectors:
Sr  0.750  0.750  0.750  -0.03
Sr  0.500  0.500  0.500  -0.03
Mn  0.000  0.000  0.000  4.05
Mn  0.250  0.250  0.250  4.05

Output
Space-group type ... Fd-3m (227)
Magnetic moment ... 8.70 μB/cell
DFT total energy ... -4.692 eV per atom